1.
DFT (PBE) results for Sc2CrCl after structural relaxation.

density of states at the Fermi level = 4.2 states/eV/f.u.
formation energy without anion corrections = 15.3 kJ/mol of atoms
M_tot = 3.50 μB per cell
crystal system = cubic

Cell and atoms, written as POSCAR:
```
Sc2CrCl
1.0
-3.2691 -0.6870 3.5416
-1.6648 3.8006 2.5468
-4.5901 1.5083 -0.5981
Cl Sc Cr
1 2 1
Direct
0.0000 0.0000 0.0000 Cl
0.7500 0.7500 0.7500 Sc
0.2500 0.2500 0.2500 Sc
0.5000 0.5000 0.5000 Cr
```

2.
DFT (PBE) results for ScCrCl2 after structural relaxation.

density of states at the Fermi level = 2.0 states/eV/f.u.
formation energy without anion corrections = -51.9 kJ/mol of atoms
M_tot = 4.51 μB per cell
crystal system = orthorhombic

Cell and atoms, written as POSCAR:
```
ScCrCl2
1.0
-5.8072 -2.2010 -2.9676
-4.9234 -4.3886 1.9683
3.9222 5.5972 0.8134
Cl Sc Cr
2 1 1
Direct
0.0662 0.0662 0.0000 Cl
0.7624 0.2624 0.5000 Cl
0.2338 0.7338 0.5000 Sc
0.4376 0.4376 0.0000 Cr
```

3.
DFT (PBE) results for Sc2CrCl after structural relaxation.

density of states at the Fermi level = 4.6 states/eV/f.u.
formation energy without anion corrections = -19.1 kJ/mol of atoms
M_tot = 2.55 μB per cell
crystal system = trigonal

Cell and atoms, written as POSCAR:
```
Sc2CrCl
1.0
1.9492 0.0000 8.9566
-0.9746 1.6880 8.9566
-0.9746 -1.6880 8.9566
Sc Cl Cr
2 1 1
Direct
0.0922 0.0922 0.0922 Sc
0.9078 0.9078 0.9078 Sc
0.0000 0.0000 0.0000 Cl
0.5000 0.5000 0.5000 Cr
```

4.
DFT (PBE) results for ScTlCrCl6 after structural relaxation.

formation energy without anion corrections = -143.7 kJ/mol of atoms
M_tot = 4.00 μB per cell
crystal system = monoclinic

Cell and atoms, written as POSCAR:
```
ScTlCrCl6
1.0
6.7974 -0.0025 0.1752
3.3990 5.5145 0.0902
0.1938 0.0006 7.1429
Cr Cl Sc Tl
1 6 1 1
Direct
0.6643 0.6715 0.4999 Cr
0.0191 0.6222 0.7234 Cl
0.3581 0.6231 0.2771 Cl
0.3844 0.9903 0.7012 Cl
0.6251 0.9908 0.2987 Cl
0.0000 0.3710 0.3200 Cl
0.6293 0.3705 0.6798 Cl
0.3248 0.3503 0.5000 Sc
0.9945 0.0103 0.9998 Tl
```

5.
DFT (PBE) results for CrSeCl2 after structural relaxation.

density of states at the Fermi level = 4.4 states/eV/f.u.
formation energy without anion corrections = 33.9 kJ/mol of atoms
M_tot = 3.69 μB per cell
crystal system = tetragonal

Cell and atoms, written as POSCAR:
```
CrSeCl2
1.0
-0.1044 1.8097 4.0461
-4.4068 0.3916 -0.2888
-0.4408 -3.7367 1.6599
Cl Se Cr
2 1 1
Direct
0.5000 0.5000 0.0000 Cl
0.0000 0.0000 0.0000 Cl
0.0000 0.5000 0.5000 Se
0.5000 0.0000 0.5000 Cr
```

6.
DFT (PBE) results for CrSeCl2 after structural relaxation.

density of states at the Fermi level = 3.5 states/eV/f.u.
formation energy without anion corrections = 16.1 kJ/mol of atoms
M_tot = 3.36 μB per cell
crystal system = trigonal

Cell and atoms, written as POSCAR:
```
CrSeCl2
1.0
1.8172 0.0000 12.5866
-0.9086 1.5738 12.5866
-0.9086 -1.5738 12.5866
Se Cl Cr
1 2 1
Direct
0.5000 0.5000 0.5000 Se
0.9436 0.9436 0.9436 Cl
0.0564 0.0564 0.0564 Cl
0.0000 0.0000 0.0000 Cr
```

7.
DFT (PBE) results for CrSe2Cl after structural relaxation.

density of states at the Fermi level = 2.5 states/eV/f.u.
formation energy without anion corrections = 10.8 kJ/mol of atoms
M_tot = 3.99 μB per cell
crystal system = monoclinic

Cell and atoms, written as POSCAR:
```
CrSe2Cl
1.0
4.8186 -0.1219 0.0704
-1.8285 4.4599 0.0704
1.4475 2.1000 4.1046
Se Cr Cl
2 1 1
Direct
0.0000 0.0000 0.0000 Se
0.5000 0.5000 0.0000 Se
0.0000 0.5000 0.5000 Cr
0.5000 0.0000 0.5000 Cl
```

8.
DFT (PBE) results for Cr2SeCl after structural relaxation.

density of states at the Fermi level = 2.2 states/eV/f.u.
formation energy without anion corrections = -1.2 kJ/mol of atoms
M_tot = 9.00 μB per cell
crystal system = orthorhombic

Cell and atoms, written as POSCAR:
```
Cr2SeCl
1.0
3.9814 -0.0362 0.0000
-2.2426 3.2899 0.0000
0.0000 0.0000 7.1869
Cr Se Cl
2 1 1
Direct
0.0000 0.0000 0.4887 Cr
0.0000 0.0000 0.0113 Cr
0.5000 0.5000 0.2500 Se
0.5000 0.5000 0.7500 Cl
```

9.
DFT (PBE) results for CrSe2Cl after structural relaxation.

density of states at the Fermi level = 1.8 states/eV/f.u.
formation energy without anion corrections = -46.2 kJ/mol of atoms
M_tot = 3.11 μB per cell
crystal system = monoclinic

Cell and atoms, written as POSCAR:
```
CrSe2Cl
1.0
-2.6385 -0.6434 -2.6498
2.8717 -3.5882 -1.9883
0.0594 -5.8185 1.3536
Cr Cl Se
1 1 2
Direct
0.5000 0.7500 0.7500 Cr
0.5000 0.2500 0.2500 Cl
0.0000 0.9501 0.9032 Se
0.0000 0.5499 0.5968 Se
```

10.
DFT (PBE) results for CrSeCl2 after structural relaxation.

density of states at the Fermi level = 2.2 states/eV/f.u.
formation energy without anion corrections = -34.5 kJ/mol of atoms
M_tot = 4.00 μB per cell
crystal system = tetragonal

Cell and atoms, written as POSCAR:
```
CrSeCl2
1.0
8.7379 0.0000 0.0000
0.0000 8.7379 0.0000
4.3690 4.3690 2.4386
Cr Cl Se
2 4 2
Direct
0.5000 0.5000 0.0000 Cr
0.2500 0.7500 0.5000 Cr
0.3750 0.5209 0.7500 Cl
0.4791 0.1250 0.2500 Cl
0.2709 0.6250 0.2500 Cl
0.8750 0.7291 0.7500 Cl
0.7500 0.2500 0.5000 Se
0.0000 0.0000 0.0000 Se
```

11.
DFT (PBE) results for Cr2SeCl after structural relaxation.

density of states at the Fermi level = 2.0 states/eV/f.u.
formation energy without anion corrections = -16.6 kJ/mol of atoms
M_tot = 8.96 μB per cell
crystal system = trigonal

Cell and atoms, written as POSCAR:
```
Cr2SeCl
1.0
-5.0465 3.5247 -2.5758
-6.4309 1.7016 0.5229
-4.3859 4.9390 0.9463
Se Cr Cl
1 2 1
Direct
0.2500 0.2500 0.2500 Se
0.5069 0.5069 0.5069 Cr
0.9931 0.9931 0.9931 Cr
0.7500 0.7500 0.7500 Cl
```

12.
DFT (PBE) results for CrSe2Cl after structural relaxation.

density of states at the Fermi level = 1.1 states/eV/f.u.
formation energy without anion corrections = -7.2 kJ/mol of atoms
M_tot = 2.29 μB per cell
crystal system = tetragonal

Cell and atoms, written as POSCAR:
```
CrSe2Cl
1.0
-3.9072 3.8163 -3.4988
-3.8263 0.8246 5.1722
-1.1505 6.3540 2.2030
Se Cr Cl
4 2 2
Direct
0.0335 0.6250 0.2500 Se
0.7165 0.1250 0.2500 Se
0.8750 0.9665 0.7500 Se
0.3750 0.2835 0.7500 Se
0.7500 0.2500 0.5000 Cr
0.0000 0.0000 0.0000 Cr
0.2500 0.7500 0.5000 Cl
0.5000 0.5000 0.0000 Cl
```